! LiCr2CdF6 GGA+U relaxed; values from VASP
! final energy	-5.22	eV per atom
! SG	P1
! calculated volume	136.4	Å³/cell
&SYSTEM
  ibrav = 0, nat = 10, ntyp = 4
/
ATOMIC_SPECIES
Li 6.94 Li.upf
Cr 52.00 Cr.upf
Cd 112.41 Cd.upf
F 19.00 F.upf
ATOMIC_POSITIONS crystal
Li 0.000 0.000 0.000
Cr 0.275 0.828 0.470
Cr 0.715 0.339 0.406
Cd 0.490 0.610 0.019
F 0.042 0.609 0.796
F 0.360 0.148 0.020
F 0.530 0.220 0.615
F 0.591 0.759 0.696
F 0.978 0.424 0.244
F 0.978 0.957 0.314
CELL_PARAMETERS angstrom
5.455 0.000 0.000
-0.814 5.605 0.000
-1.850 -3.062 4.460